## HoErSn (PBE)

Data for a relaxed HoErSn crystal.

```
HoErSn
1.0
4.445 0.000 -0.927
-0.193 4.441 -0.927
-0.475 -0.496 8.843
Sn Er Ho
2 2 2
Cartesian
2.579 2.693 1.244
1.198 1.251 5.745
2.223 0.000 -0.463
-0.097 2.221 -0.463
0.579 0.604 2.775
3.198 3.340 4.214
```

Properties
Energy relative to the lowest polymorph listed for this composition (meV/atom): 11
DFT total energy (eV/f.u.): -14.9
Theoretical density (kg/m3): 8784
Space group: I4/mmm